No. 1
Material: Li2BeFeH
Method: DFT, PBE
State: relaxed

The structure belongs to space group P4/mmm (No. 123); the cell edges are 4.730, 4.730 and 2.892 Å and the angles 90.00°, 90.00° and 90.00°. The distinct sites, in fractional coordinates, are Li at (0.000, 0.500, 0.000), Be at (0.000, 0.000, 0.500), Fe at (0.500, 0.500, 0.000) and H at (0.500, 0.500, 0.500).

The energy is -15.9 eV for the cell shown. The size of the total moment is 1.76 μB per cell.

***

No. 2
Material: In14HgBi
Method: DFT, PBE
State: relaxed

The structure belongs to space group Amm2 (No. 38); the cell edges are 10.754, 7.561 and 10.855 Å and the angles 90.00°, 90.00° and 90.00°. The distinct sites, in fractional coordinates, are In at (0.000, 0.000, 0.000), In at (0.000, 0.000, 0.492), In at (0.000, 0.243, 0.747), In at (0.246, 0.000, 0.208), In at (0.250, 0.000, 0.698), In at (0.250, 0.241, 0.954), In at (0.500, 0.249, 0.670), Hg at (0.500, 0.000, 0.923) and Bi at (0.500, 0.000, 0.417).

The value obtained for the energy of formation from the pure elements is 0.020 eV per atom. The energy is -84.4 eV for the cell shown. The size of the total moment is 0.00 μB per cell.

***

No. 3
Material: La2TaSi
Method: DFT, PBE
State: relaxed

The structure belongs to space group Cm (No. 8); the cell edges are 11.209, 3.642 and 5.357 Å and the angles 90.00°, 110.27° and 90.00°. The distinct sites, in fractional coordinates, are La at (0.000, 0.000, 0.000), La at (0.195, 0.000, 0.654), Ta at (0.287, 0.500, 0.240) and Si at (0.444, 0.000, 0.480).

Its uncorrected formation energy is -0.033 eV/atom. The energy is -54.5 eV for the cell shown. The size of the total moment is 0.00 μB per cell.

***

No. 4
Material: Ac3Pr4NdTe8
Method: DFT, PBE
State: relaxed

The structure belongs to space group C2/m (No. 12); the cell edges are 15.910, 9.241 and 9.183 Å and the angles 90.00°, 125.03° and 90.00°. The distinct sites, in fractional coordinates, are Ac at (0.000, 0.000, 0.000), Ac at (0.250, 0.250, 0.500), Pr at (0.000, 0.000, 0.500), Pr at (0.000, 0.500, 0.500), Pr at (0.250, 0.250, 0.000), Nd at (0.000, 0.500, 0.000), Te at (0.004, 0.255, 0.751), Te at (0.246, 0.500, 0.754) and Te at (0.249, 0.500, 0.241).

Its uncorrected formation energy is -1.449 eV/atom. The energy is -169.0 eV for the cell shown. The size of the total moment is 0.00 μB per cell.

***

No. 5
Material: LiSnHg
Method: DFT, PBE
State: relaxed

The structure belongs to space group Pmma (No. 51); the cell edges are 6.243, 3.085 and 7.209 Å and the angles 90.00°, 90.00° and 90.00°. The distinct sites, in fractional coordinates, are Li at (0.250, 0.000, 0.209), Sn at (0.000, 0.500, 0.500) and Hg at (0.250, 0.500, 0.882).

The value obtained for the energy of formation from the pure elements is -0.214 eV per atom. The energy is -13.7 eV for the cell shown. The size of the total moment is 0.00 μB per cell. For the polymorph energy (0 for the lowest one), the calculation gives 0 meV/atom.

***

No. 6
Material: AcPrNCl
Method: DFT, PBE
State: relaxed

The structure belongs to space group P1 (No. 1); the cell edges are 3.774, 3.786 and 7.869 Å and the angles 103.89°, 90.06° and 119.77°. The distinct sites, in fractional coordinates, are Ac at (0.000, 0.000, 0.000), Pr at (0.793, 0.586, 0.379), N at (0.403, 0.807, 0.210) and Cl at (0.223, 0.443, 0.666).

Its uncorrected formation energy is -1.426 eV/atom. The energy is -24.8 eV for the cell shown. The size of the total moment is 0.00 μB per cell.

***

No. 7
Material: La2TbPr7
Method: DFT, PBE
State: relaxed

The structure belongs to space group Cmmm (No. 65); the cell edges are 6.874, 29.809 and 3.538 Å and the angles 90.00°, 90.00° and 90.00°. The distinct sites, in fractional coordinates, are La at (0.000, 0.204, 0.000), Tb at (0.000, 0.500, 0.500), Pr at (0.000, 0.000, 0.000), Pr at (0.000, 0.311, 0.500) and Pr at (0.244, 0.402, 0.000).

The value obtained for the energy of formation from the pure elements is 0.136 eV per atom. The energy is -93.2 eV for the cell shown. The size of the total moment is 0.00 μB per cell.

***

No. 8
Material: VZnTeI2
Method: DFT, PBE
State: relaxed

The structure belongs to space group P4/mmm (No. 123); the cell edges are 5.627, 5.627 and 5.207 Å and the angles 90.00°, 90.00° and 90.00°. The distinct sites, in fractional coordinates, are V at (0.000, 0.000, 0.000), Zn at (0.500, 0.500, 0.500), Te at (0.000, 0.000, 0.500) and I at (0.000, 0.500, 0.000).

Its uncorrected formation energy is 0.149 eV/atom. The energy is -15.9 eV for the cell shown. The size of the total moment is 1.31 μB per cell. For the polymorph energy (0 for the lowest one), the calculation gives 0 meV/atom.

***

No. 9
Material: CdSn2IrS
Method: DFT, PBE
State: relaxed

The structure belongs to space group P4/mmm (No. 123); the cell edges are 5.444, 5.444 and 4.983 Å and the angles 90.00°, 90.00° and 90.00°. The distinct sites, in fractional coordinates, are Cd at (0.000, 0.000, 0.000), Sn at (0.000, 0.500, 0.000), Ir at (0.000, 0.000, 0.500) and S at (0.500, 0.500, 0.500).

Its uncorrected formation energy is 1.262 eV/atom. The energy is -15.6 eV for the cell shown. The size of the total moment is 1.32 μB per cell.

***

| no. | D(E_F) (states/eV per atom) | volume (A^3/atom) |
| --- | --- | --- |
| 1 | 0.37 | 12.94 |
| 2 | 0.40 | 27.58 |
| 3 | 1.13 | 25.64 |
| 4 | 0.76 | 34.55 |
| 5 | 0.32 | 23.14 |
| 6 | 0.19 | 23.44 |
| 7 | 1.57 | 36.25 |
| 8 | 1.28 | 32.98 |
| 9 | 0.70 | 29.54 |